# 1
Below is an optimized crystal structure of AcZrCo4, with properties calculated at the PBE level.

Computed properties:
As for the total magnetization: 0.0 μB/cell. The value obtained for the formation energy from the elements is 0.307 eV per formula unit. For the final energy, the calculation gives -6.795 eV/atom.

a b c (Å): 5.068 5.068 5.068
angles (deg): 60.00 60.00 60.00
Fractional positions:
Ac1 0.000 0.000 0.000
Zr1 0.750 0.750 0.750
Co1 0.376 0.376 0.376
Co2 0.376 0.376 0.871
Co3 0.376 0.871 0.376
Co4 0.871 0.376 0.376



# 2
Below is an optimized crystal structure of Ac4Cr, with properties calculated at the PBE level.

Computed properties:
As for the total magnetization: 1.6 μB/cell. The value obtained for the formation energy from the elements is 2.053 eV per formula unit. For the final energy, the calculation gives -4.801 eV/atom.

a b c (Å): 5.931 5.931 5.931
angles (deg): 90.00 90.00 90.00
Fractional positions:
Ac1 0.000 0.000 0.000
Ac2 0.000 0.500 0.500
Ac3 0.500 0.000 0.500
Ac4 0.500 0.500 0.000
Cr1 0.500 0.500 0.500



# 3
Below is an optimized crystal structure of AcCr4, with properties calculated at the PBE level.

Computed properties:
As for the total magnetization: 15.6 μB/cell. The value obtained for the formation energy from the elements is 12.598 eV per formula unit. For the final energy, the calculation gives -6.001 eV/atom.

a b c (Å): 5.233 5.233 5.233
angles (deg): 90.00 90.00 90.00
Fractional positions:
Ac1 0.000 0.000 0.000
Cr1 0.000 0.000 0.500
Cr2 0.000 0.500 0.000
Cr3 0.500 0.000 0.000
Cr4 0.500 0.500 0.500